A geometry-optimized LiInB3 structure, computed with PBE. Values from VASP.

Cell and atoms, written as Quantum ESPRESSO input:
```
&SYSTEM
  ibrav = 0, nat = 5, ntyp = 3
/
ATOMIC_SPECIES
B 10.81 B.upf
Li 6.94 Li.upf
In 114.82 In.upf
CELL_PARAMETERS angstrom
3.951 0.000 0.000
0.000 3.951 0.000
0.000 0.000 3.951
ATOMIC_POSITIONS angstrom
B 0.000 1.976 0.000
B 1.976 0.000 0.000
B 0.000 0.000 1.976
Li 0.000 0.000 0.000
In 1.976 1.976 1.976
```

Values from the calculation:
offset from the most stable computed form: 0 meV per atom

---

A geometry-optimized LiInNi2B structure, computed with PBE. Values from VASP.

Cell and atoms, written as Quantum ESPRESSO input:
```
&SYSTEM
  ibrav = 0, nat = 5, ntyp = 4
/
ATOMIC_SPECIES
B 10.81 B.upf
Ni 58.69 Ni.upf
Li 6.94 Li.upf
In 114.82 In.upf
CELL_PARAMETERS angstrom
3.885 0.000 0.000
0.000 3.885 0.000
0.000 0.000 4.110
ATOMIC_POSITIONS angstrom
B 0.000 0.000 0.000
Ni 1.942 0.000 0.000
Ni 0.000 1.942 0.000
Li 0.000 0.000 2.055
In 1.942 1.942 2.055
```

---

no.,energy of formation from the pure elements (kJ/mol of formula units),ρ (Mg/m³),VASP energy (eV per cell)
1,885.9,4.2,-15.50
2,-59.9,6.7,-23.51